[1]
Entry from Alexandria: a relaxed Pm2TiSi3Ir4 crystal (GGA-PBE).

Its crystal system is tetragonal. The value obtained for the density of states at the Fermi level is 0.47 states/eV/atom. The value obtained for the formation energy from raw total energies is -1.02 eV per atom. The calculation puts the total magnetization at 0.00 μB per atom. For the volume, the calculation gives 17.677 A^3/atom.

The structure belongs to space group P-4m2 (No. 115); the cell edges are 4.119, 4.119 and 10.421 Å and the angles 90.00°, 90.00° and 90.00°. The distinct sites, in fractional coordinates, are Pm at (0.000, 0.500, 0.244), Ti at (0.000, 0.000, 0.500), Si at (0.000, 0.500, 0.875), Si at (0.500, 0.500, 0.500), Ir at (0.000, 0.000, 0.000), Ir at (0.000, 0.500, 0.640) and Ir at (0.500, 0.500, 0.000).


[2]
Entry from Alexandria: a relaxed Bi2PdRu crystal (GGA-PBE).

Its crystal system is tetragonal. The value obtained for the density of states at the Fermi level is 0.94 states/eV/atom. The calculation puts the total magnetization at 0.00 μB per atom. For the volume, the calculation gives 28.807 A^3/atom. The calculation puts the formation energy at 0.4549 eV per atom. The calculation puts the energy relative to the lowest polymorph listed for this composition at 241.1 meV/atom.

The structure belongs to space group I-42d (No. 122); the cell edges are 6.473, 6.473 and 11.000 Å and the angles 90.00°, 90.00° and 90.00°. The distinct sites, in fractional coordinates, are Bi at (0.239, 0.250, 0.125), Pd at (0.000, 0.000, 0.500) and Ru at (0.000, 0.000, 0.000).


[3]
Entry from Alexandria: a relaxed Na4AcRe3O12 crystal (GGA-PBE).

Its crystal system is cubic. The value obtained for the density of states at the Fermi level is 0.40 states/eV/atom. The value obtained for the formation energy from raw total energies is -1.68 eV per atom. The calculation puts the total magnetization at 0.09 μB per atom. For the volume, the calculation gives 14.019 A^3/atom.

The structure belongs to space group Im-3m (No. 229); the cell edges are 8.246, 8.246 and 8.246 Å and the angles 90.00°, 90.00° and 90.00°. The distinct sites, in fractional coordinates, are Na at (0.250, 0.250, 0.250), Ac at (0.000, 0.000, 0.000), Re at (0.000, 0.000, 0.500), O at (0.000, 0.000, 0.278) and O at (0.000, 0.250, 0.500).


[4]
Entry from Alexandria: a relaxed ZnCuRu2 crystal (GGA-PBE).

Its crystal system is tetragonal. The value obtained for the density of states at the Fermi level is 0.87 states/eV/atom. The calculation puts the total magnetization at 0.00 μB per atom. For the volume, the calculation gives 13.482 A^3/atom. The calculation puts the formation energy at 0.1292 eV per atom.

The structure belongs to space group I-4m2 (No. 119); the cell edges are 3.847, 3.847 and 7.286 Å and the angles 90.00°, 90.00° and 90.00°. The distinct sites, in fractional coordinates, are Zn at (0.000, 0.000, 0.000), Cu at (0.000, 0.500, 0.750), Ru at (0.000, 0.000, 0.500) and Ru at (0.000, 0.500, 0.250).


[5]
Entry from Alexandria: a relaxed Mg5Ru crystal (GGA-PBE).

Its crystal system is hexagonal. The value obtained for the density of states at the Fermi level is 0.48 states/eV/atom. The calculation puts the total magnetization at 0.00 μB per atom. For the volume, the calculation gives 19.073 A^3/atom. The calculation puts the formation energy at 0.0321 eV per atom. The calculation puts the energy relative to the lowest polymorph listed for this composition at 43.1 meV/atom.

The structure belongs to space group P-62m (No. 189); the cell edges are 5.2713, 5.2713 and 4.7557 Å and the angles 90.00°, 90.00° and 120.00°. The distinct sites, in fractional coordinates, are Mg at (0.0000, 0.6905, 0.0000), Mg at (0.3333, 0.6667, 0.5000) and Ru at (0.0000, 0.0000, 0.5000).


[6]
Entry from Alexandria: a relaxed AgHg2Ir crystal (GGA-PBE).

Its crystal system is trigonal. The value obtained for the density of states at the Fermi level is 0.87 states/eV/atom. The calculation puts the total magnetization at 0.13 μB per atom. For the volume, the calculation gives 19.275 A^3/atom. The calculation puts the formation energy at 0.3975 eV per atom. The calculation puts the energy relative to the lowest polymorph listed for this composition at 60.4 meV/atom.

The structure belongs to space group R3m (No. 160, hexagonal axes); the cell edges are 2.9459, 2.9459 and 30.7750 Å and the angles 90.00°, 90.00° and 120.00°. The distinct sites, in fractional coordinates, are Ag at (0.0000, 0.0000, 0.0000), Hg at (0.0000, 0.0000, 0.2495), Hg at (0.0000, 0.0000, 0.4844) and Ir at (0.0000, 0.0000, 0.7407).


[7]
Entry from Alexandria: a relaxed Ta4GaN crystal (GGA-PBE).

Its crystal system is orthorhombic. The value obtained for the density of states at the Fermi level is 0.57 states/eV/atom. The value obtained for the formation energy from raw total energies is -0.13 eV per atom. The calculation puts the total magnetization at 0.00 μB per atom. For the volume, the calculation gives 17.184 A^3/atom.

The structure belongs to space group Pnc2 (No. 30); the cell edges are 6.717, 4.907 and 6.256 Å and the angles 90.00°, 90.00° and 90.00°. The distinct sites, in fractional coordinates, are Ta at (0.134, 0.249, 0.000), Ta at (0.241, 0.721, 0.762), Ga at (0.500, 0.000, 0.535) and N at (0.000, 0.000, 0.752).


[8]
Entry from Alexandria: a relaxed EuSn2Ru crystal (GGA-PBE).

Its crystal system is trigonal. The value obtained for the density of states at the Fermi level is 2.17 states/eV/atom. The calculation puts the total magnetization at 1.73 μB per atom. For the volume, the calculation gives 24.358 A^3/atom. The calculation puts the formation energy at -0.3364 eV per atom. The calculation puts the energy relative to the lowest polymorph listed for this composition at 0.0 meV/atom.

The structure belongs to space group R-3m (No. 166, hexagonal axes); the cell edges are 4.4870, 4.4870 and 16.7639 Å and the angles 90.00°, 90.00° and 120.00°. The distinct sites, in fractional coordinates, are Eu at (0.0000, 0.0000, 0.0000), Sn at (0.0000, 0.0000, 0.2197) and Ru at (0.0000, 0.0000, 0.5000).


[9]
Entry from Alexandria: a relaxed AcDy2Tl crystal (GGA-PBE).

Its crystal system is trigonal. The value obtained for the density of states at the Fermi level is 1.32 states/eV/atom. The calculation puts the total magnetization at 0.00 μB per atom. For the volume, the calculation gives 35.560 A^3/atom. The calculation puts the formation energy at 0.0353 eV per atom. The calculation puts the energy relative to the lowest polymorph listed for this composition at 186.0 meV/atom.

The structure belongs to space group R3m (No. 160, hexagonal axes); the cell edges are 5.2457, 5.2457 and 17.9067 Å and the angles 90.00°, 90.00° and 120.00°. The distinct sites, in fractional coordinates, are Ac at (0.0000, 0.0000, 0.0000), Dy at (0.0000, 0.0000, 0.5501), Dy at (0.0000, 0.0000, 0.7849) and Tl at (0.0000, 0.0000, 0.2035).


[10]
Entry from Alexandria: a relaxed NaCo2Mo2 crystal (GGA-PBE).

Its crystal system is tetragonal. The value obtained for the density of states at the Fermi level is 1.04 states/eV/atom. The calculation puts the total magnetization at 0.15 μB per atom. For the volume, the calculation gives 16.282 A^3/atom. The calculation puts the formation energy at 0.5476 eV per atom. The calculation puts the energy relative to the lowest polymorph listed for this composition at 186.1 meV/atom.

The structure belongs to space group I4/mmm (No. 139); the cell edges are 4.052, 4.052 and 9.915 Å and the angles 90.00°, 90.00° and 90.00°. The distinct sites, in fractional coordinates, are Na at (0.000, 0.000, 0.000), Co at (0.000, 0.000, 0.386) and Mo at (0.000, 0.500, 0.250).


[11]
Entry from Alexandria: a relaxed ZrTiTlCd crystal (GGA-PBE).

Its crystal system is cubic. The value obtained for the density of states at the Fermi level is 0.84 states/eV/atom. The calculation puts the total magnetization at 0.23 μB per atom. For the volume, the calculation gives 21.019 A^3/atom. The calculation puts the formation energy at 0.0841 eV per atom.

The structure belongs to space group F-43m (No. 216); the cell edges are 6.954, 6.954 and 6.954 Å and the angles 90.00°, 90.00° and 90.00°. The distinct sites, in fractional coordinates, are Zr at (0.000, 0.000, 0.000), Ti at (0.000, 0.000, 0.500), Tl at (0.250, 0.250, 0.250) and Cd at (0.250, 0.250, 0.750).


[12]
Entry from Alexandria: a relaxed Rb2SrAg2I6 crystal (GGA-PBE).

Its crystal system is monoclinic. The value obtained for the density of states at the Fermi level is 0.00 states/eV/atom. The value obtained for the formation energy from raw total energies is -1.06 eV per atom. The calculation puts the total magnetization at 0.00 μB per atom. For the volume, the calculation gives 46.897 A^3/atom.

The structure belongs to space group C2/m (No. 12); the cell edges are 15.298, 8.838 and 8.823 Å and the angles 90.00°, 120.13° and 90.00°. The distinct sites, in fractional coordinates, are Rb at (0.239, 0.000, 0.198), Sr at (0.000, 0.000, 0.500), Ag at (0.051, 0.500, 0.203), I at (0.065, 0.247, 0.820) and I at (0.240, 0.000, 0.614).